1.
A relaxed Si2OsBr crystal. Source: Alexandria via LeMat-Bulk, functional PBEsol.

The value obtained for the energy above the lowest structure with this stoichiometry is 0.00 eV/f.u. The space group is R-3m (166). The value obtained for the density of states at the Fermi level is 1.684 states/eV/cell.

a = 3.1716 Å, b = 3.1716 Å, c = 7.7384 Å
α = 78.17°, β = 78.17°, γ = 60.00°
Last column: nearest neighbours and their distance in Å.
Fractional positions:
Si  0.7392  0.7392  0.7824  3 Os 2.46
Br  0.5000  0.5000  0.5000  6 Si 2.80
Os  0.0000  0.0000  0.0000  6 Si 2.46
Si  0.2608  0.2608  0.2176  3 Os 2.46

2.
A relaxed SiOsBr2 crystal. Source: Alexandria via LeMat-Bulk, functional PBEsol.

The space group is C2/m (12). The value obtained for the density of states at the Fermi level is 2.248 states/eV/cell.

a = 3.0008 Å, b = 3.9551 Å, c = 7.6661 Å
α = 104.10°, β = 101.29°, γ = 90.00°
Last column: nearest neighbours and their distance in Å.
Fractional positions:
Br  0.1516  0.2727  0.3033  1 Si 2.65, 2 Os 2.72
Si  0.0000  0.5000  0.0000  4 Os 2.48, 2 Br 2.65
Os  0.5000  0.0000  0.0000  4 Si 2.48, 4 Br 2.72
Br  0.8484  0.7273  0.6967  1 Si 2.65, 2 Os 2.72

3.
A relaxed ZrSi2OsBr crystal. Source: Alexandria via LeMat-Bulk, functional PBEsol.

The space group is P4/mmm (123). The value obtained for the density of states at the Fermi level is 6.204 states/eV/cell.

a = 4.9154 Å, b = 5.0653 Å, c = 5.0653 Å
α = 90.00°, β = 90.00°, γ = 90.00°
Last column: nearest neighbours and their distance in Å.
Fractional positions:
Os  0.5000  0.5000  0.5000  8 Si 3.53, 4 Br 3.58
Zr  0.0000  0.0000  0.0000  2 Br 2.46, 4 Si 2.53
Br  0.5000  0.0000  0.0000  2 Zr 2.46
Si  0.0000  0.0000  0.5000  2 Zr 2.53
Si  0.0000  0.5000  0.0000  2 Zr 2.53

4.
A relaxed Sn3OsBr crystal. Source: Alexandria via LeMat-Bulk, functional PBEsol.

The space group is Pm-3m (221). The value obtained for the density of states at the Fermi level is 3.423 states/eV/cell.

a = 5.0850 Å, b = 5.0850 Å, c = 5.0850 Å
α = 90.00°, β = 90.00°, γ = 90.00°
Last column: nearest neighbours and their distance in Å.
Fractional positions:
Sn  0.5000  0.0000  0.0000  2 Os 2.54
Sn  0.0000  0.0000  0.5000  2 Os 2.54
Sn  0.0000  0.5000  0.0000  2 Os 2.54
Os  0.0000  0.0000  0.0000  6 Sn 2.54
Br  0.5000  0.5000  0.5000  12 Sn 3.60

E for the records above, in order: -25.055 -20.399 -26.115 -26.960 eV/cell
Formation energy without anion corrections for the records above, in order: 12.6 31.4 165.1 -1.9 kJ/mol of atoms